(1)
! PBE-GGA SrCoP2Ir, optimized geometry; values from VASP
! Formation energy ... -815.9 meV/atom
! ρ ... 7.5 g/cm3
! Polymorph energy (0 for the lowest one) ... 0 meV per atom
&SYSTEM
  ibrav = 0, nat = 5, ntyp = 4
/
ATOMIC_SPECIES
Sr 87.62 Sr.upf
P 30.97 P.upf
Co 58.93 Co.upf
Ir 192.22 Ir.upf
CELL_PARAMETERS angstrom
-1.984 -2.966 -1.440
1.661 -2.351 2.553
-4.288 3.743 3.337
ATOMIC_POSITIONS crystal
Sr 0.000 0.000 0.000
P 0.644 0.644 0.287
Co 0.250 0.750 0.500
Ir 0.750 0.250 0.500
P 0.356 0.356 0.713


(2)
! PBE-GGA SmEuInBi, optimized geometry; values from VASP
! Formation energy ... -517.4 meV/atom
! ρ ... 8.5 g/cm3
&SYSTEM
  ibrav = 0, nat = 4, ntyp = 4
/
ATOMIC_SPECIES
Bi 208.98 Bi.upf
Sm 150.36 Sm.upf
In 114.82 In.upf
Eu 151.96 Eu.upf
CELL_PARAMETERS angstrom
-1.812 5.193 -0.927
-4.675 0.842 -2.923
-4.596 1.849 2.562
ATOMIC_POSITIONS crystal
Bi 0.750 0.750 0.750
Sm 0.500 0.500 0.500
In 0.250 0.250 0.250
Eu 0.000 0.000 0.000


(3)
! PBE-GGA NaLiAsBr2, optimized geometry; values from VASP
! ΔE_f (raw) ... -105 kJ/mol of formula units
! ρ ... 2.5 g/cm3
! Polymorph energy (0 for the lowest one) ... 220 meV per atom
&SYSTEM
  ibrav = 0, nat = 5, ntyp = 4
/
ATOMIC_SPECIES
Br 79.90 Br.upf
As 74.92 As.upf
Na 22.99 Na.upf
Li 6.94 Li.upf
CELL_PARAMETERS angstrom
5.617 0.000 0.000
0.000 5.617 0.000
0.000 0.000 5.568
ATOMIC_POSITIONS crystal
Br 0.500 0.000 0.000
Br 0.000 0.500 0.000
As 0.000 0.000 0.500
Na 0.000 0.000 0.000
Li 0.500 0.500 0.500